1.
DFT (GGA-PBE) results for SrReH3 after structural relaxation. Values from VASP.

Quantum ESPRESSO input file:
```
&SYSTEM
  ibrav = 0, nat = 5, ntyp = 3
/
ATOMIC_SPECIES
Sr 87.62 Sr.upf
Re 186.21 Re.upf
H 1.01 H.upf
CELL_PARAMETERS angstrom
3.777 0.000 0.000
0.000 3.777 0.000
0.000 0.000 3.777
ATOMIC_POSITIONS crystal
Sr 0.000 0.000 0.000
Re 0.500 0.500 0.500
H 0.000 0.500 0.500
H 0.500 0.000 0.500
H 0.500 0.500 0.000
```

Calculated values
Total energy ... -4.84 eV per atom
Space group ... No. 221
Magnetization ... 0.00 μB per formula unit

=====

2.
DFT (GGA-PBE) results for BaClF4 after structural relaxation. Values from VASP.

Quantum ESPRESSO input file:
```
&SYSTEM
  ibrav = 0, nat = 12, ntyp = 3
/
ATOMIC_SPECIES
Ba 137.33 Ba.upf
Cl 35.45 Cl.upf
F 19.00 F.upf
CELL_PARAMETERS angstrom
-4.309 4.309 3.820
4.309 -4.309 3.820
4.309 4.309 -3.820
ATOMIC_POSITIONS crystal
Ba 0.000 0.000 0.000
Ba 0.750 0.250 0.500
Cl 0.228 0.728 0.500
Cl 0.478 0.478 0.000
F 0.218 0.510 0.292
F 0.218 0.926 0.708
F 0.260 0.468 0.792
F 0.315 0.022 0.293
F 0.676 0.468 0.208
F 0.729 0.022 0.707
F 0.772 0.565 0.793
F 0.772 0.979 0.207
```

Calculated values
Formation energy (no corrections) ... -2.030 eV per atom
Space group ... No. 109
Magnetization ... 1.02 μB per formula unit

=====

3.
DFT (GGA-PBE) results for CrHgIr after structural relaxation. Values from VASP.

Quantum ESPRESSO input file:
```
&SYSTEM
  ibrav = 0, nat = 3, ntyp = 3
/
ATOMIC_SPECIES
Cr 52.00 Cr.upf
Hg 200.59 Hg.upf
Ir 192.22 Ir.upf
CELL_PARAMETERS angstrom
0.000 2.371 7.107
1.436 0.000 7.107
1.436 2.371 0.000
ATOMIC_POSITIONS crystal
Cr 0.000 0.000 0.000
Hg 0.673 0.673 0.327
Ir 0.359 0.359 0.641
```

Calculated values
Total energy ... -5.72 eV per atom
Space group ... No. 42
Magnetization ... 0.00 μB per formula unit